Record 1
Below is an optimized crystal structure of KBe2Zn, with properties calculated at the PBE level.

Cell lengths 5.7056, 5.7056, 2.5274 Å; angles 90.00, 90.00, 112.73 degrees
Closest atoms and distances in Å follow each position.
Positions (direct):
K  0.0000  0.0000  0.0000  2 K 2.53
Be  0.0000  0.5000  0.5000  2 Be 2.53
Be  0.5000  0.0000  0.5000  2 Be 2.53
Zn  0.5000  0.5000  0.0000  2 Zn 2.53

=====

Record 2
Below is an optimized crystal structure of Cs2SIBr6, with properties calculated at the PBE level.

Cell lengths 8.2623, 8.2623, 8.2623 Å; angles 122.63, 122.63, 85.50 degrees
Closest atoms and distances in Å follow each position.
Positions (direct):
Cs  0.2500  0.7500  0.5000  12 Br 4.00-4.13
Cs  0.7500  0.2500  0.5000  12 Br 4.00-4.13
S  0.0000  0.0000  0.0000  6 Br 2.52-2.68
I  0.5000  0.5000  0.0000  4 Br 2.93
Br  0.2075  0.2075  0.0000  1 S 2.52
Br  0.2385  0.2385  0.4771  1 S 2.68, 1 I 2.93
Br  0.2385  0.7615  0.0000  1 S 2.68, 1 I 2.93
Br  0.7615  0.2385  0.0000  1 S 2.68, 1 I 2.93
Br  0.7615  0.7615  0.5229  1 S 2.68, 1 I 2.93
Br  0.7925  0.7925  0.0000  1 S 2.52

=====

Record 3
Below is an optimized crystal structure of Zn3CuNi3, with properties calculated at the PBE level.

Cell lengths 5.8859, 5.8859, 5.2415 Å; angles 90.00, 90.00, 90.67 degrees
Closest atoms and distances in Å follow each position.
Positions (direct):
Zn  0.0000  0.0000  0.2491  4 Ni 2.48-2.49, 2 Zn 2.61-2.63
Zn  0.0000  0.0000  0.7509  4 Ni 2.48-2.49, 2 Zn 2.61-2.63
Zn  0.0000  0.5000  0.2472  6 Ni 2.44-2.59, 2 Cu 2.58, 2 Zn 2.59-2.65
Zn  0.0000  0.5000  0.7528  6 Ni 2.44-2.59, 2 Cu 2.58, 2 Zn 2.59-2.65
Zn  0.5000  0.0000  0.2472  6 Ni 2.44-2.59, 2 Cu 2.58, 2 Zn 2.59-2.65
Zn  0.5000  0.0000  0.7528  6 Ni 2.44-2.59, 2 Cu 2.58, 2 Zn 2.59-2.65
Cu  0.3380  0.3380  0.5000  4 Ni 2.47-2.62, 4 Zn 2.58, 1 Cu 2.68
Cu  0.6620  0.6620  0.5000  4 Ni 2.47-2.62, 4 Zn 2.58, 1 Cu 2.68
Ni  0.2512  0.7488  0.0000  6 Zn 2.44-2.48, 4 Ni 2.44-2.62
Ni  0.2520  0.7480  0.5000  6 Zn 2.46-2.49, 2 Cu 2.47, 2 Ni 2.62
Ni  0.3459  0.3459  0.0000  3 Ni 2.44-2.55, 4 Zn 2.59, 2 Cu 2.62
Ni  0.6541  0.6541  0.0000  3 Ni 2.44-2.55, 4 Zn 2.59, 2 Cu 2.62
Ni  0.7480  0.2520  0.5000  6 Zn 2.46-2.49, 2 Cu 2.47, 2 Ni 2.62
Ni  0.7488  0.2512  0.0000  6 Zn 2.44-2.48, 4 Ni 2.44-2.62

=====

Number 1: final energy -5.511 eV for the cell shown. Number 2: final energy -24.482 eV for the cell shown. Number 3: final energy -50.939 eV for the cell shown.